No. 1
# LiHf3Pb, relaxed, DFT PBE
data_LiHf3Pb
_chemical_formula_sum 'Li1 Hf3 Pb1'
_space_group_name_H-M_alt 'P m -3 m'
_space_group_IT_number 221
_space_group_name_Hall '-P 4 2 3'
_cell_length_a 5.395
_cell_length_b 5.395
_cell_length_c 5.395
_cell_angle_alpha 90.00
_cell_angle_beta 90.00
_cell_angle_gamma 90.00
loop_
_atom_site_label
_atom_site_fract_x
_atom_site_fract_y
_atom_site_fract_z
_atom_site_occupancy
Li1 0.000 0.000 0.000 1
Hf1 0.000 0.500 0.500 1
Pb1 0.500 0.500 0.500 1
# Formation energy ... 1.40 eV/atom
# Polymorph energy (0 for the lowest one) ... 836.5 meV/atom

***

No. 2
# LiHf3Pb, relaxed, DFT PBE
data_LiHf3Pb
_chemical_formula_sum 'Li1 Hf3 Pb1'
_space_group_name_H-M_alt 'P m -3 m'
_space_group_IT_number 221
_space_group_name_Hall '-P 4 2 3'
_cell_length_a 4.757
_cell_length_b 4.757
_cell_length_c 4.757
_cell_angle_alpha 90.00
_cell_angle_beta 90.00
_cell_angle_gamma 90.00
loop_
_atom_site_label
_atom_site_fract_x
_atom_site_fract_y
_atom_site_fract_z
_atom_site_occupancy
Li1 0.000 0.000 0.000 1
Hf1 0.000 0.000 0.500 1
Pb1 0.500 0.500 0.500 1
# Formation energy ... 0.57 eV/atom
# Polymorph energy (0 for the lowest one) ... 0.0 meV/atom

***

No. 3
# Li3HfPb, relaxed, DFT PBE
data_Li3HfPb
_chemical_formula_sum 'Li3 Hf1 Pb1'
_space_group_name_H-M_alt 'P m -3 m'
_space_group_IT_number 221
_space_group_name_Hall '-P 4 2 3'
_cell_length_a 4.818
_cell_length_b 4.818
_cell_length_c 4.818
_cell_angle_alpha 90.00
_cell_angle_beta 90.00
_cell_angle_gamma 90.00
loop_
_atom_site_label
_atom_site_fract_x
_atom_site_fract_y
_atom_site_fract_z
_atom_site_occupancy
Li1 0.000 0.000 0.500 1
Hf1 0.500 0.500 0.500 1
Pb1 0.000 0.000 0.000 1
# Formation energy ... 0.67 eV/atom
# Polymorph energy (0 for the lowest one) ... 0.0 meV/atom

***

No. 4
# LiHfPd2Pb, relaxed, DFT PBE
data_LiHfPd2Pb
_chemical_formula_sum 'Li1 Hf1 Pd2 Pb1'
_space_group_name_H-M_alt 'P 4/m m m'
_space_group_IT_number 123
_space_group_name_Hall '-P 4 2'
_cell_length_a 4.950
_cell_length_b 4.950
_cell_length_c 5.649
_cell_angle_alpha 90.00
_cell_angle_beta 90.00
_cell_angle_gamma 90.00
loop_
_atom_site_label
_atom_site_fract_x
_atom_site_fract_y
_atom_site_fract_z
_atom_site_occupancy
Li1 0.000 0.000 0.000 1
Hf1 0.500 0.500 0.500 1
Pd1 0.000 0.500 0.500 1
Pb1 0.500 0.500 0.000 1
# Formation energy ... 0.41 eV/atom
# Polymorph energy (0 for the lowest one) ... 0.0 meV/atom

***

No. 5
# LiHfPdPb, relaxed, DFT PBE
data_LiHfPdPb
_chemical_formula_sum 'Li4 Hf4 Pd4 Pb4'
_space_group_name_H-M_alt 'F -4 3 m'
_space_group_IT_number 216
_space_group_name_Hall 'F -4 2 3'
_cell_length_a 6.742
_cell_length_b 6.742
_cell_length_c 6.742
_cell_angle_alpha 90.00
_cell_angle_beta 90.00
_cell_angle_gamma 90.00
loop_
_atom_site_label
_atom_site_fract_x
_atom_site_fract_y
_atom_site_fract_z
_atom_site_occupancy
Li1 0.000 0.000 0.000 1
Hf1 0.000 0.000 0.500 1
Pd1 0.250 0.250 0.750 1
Pb1 0.250 0.250 0.250 1
# Formation energy ... -0.30 eV/atom

***

No. 6
# LiHfPd2Pb, relaxed, DFT PBE
data_LiHfPd2Pb
_chemical_formula_sum 'Li1 Hf1 Pd2 Pb1'
_space_group_name_H-M_alt 'P 4/m m m'
_space_group_IT_number 123
_space_group_name_Hall '-P 4 2'
_cell_length_a 4.880
_cell_length_b 4.880
_cell_length_c 5.279
_cell_angle_alpha 90.00
_cell_angle_beta 90.00
_cell_angle_gamma 90.00
loop_
_atom_site_label
_atom_site_fract_x
_atom_site_fract_y
_atom_site_fract_z
_atom_site_occupancy
Li1 0.000 0.000 0.000 1
Hf1 0.000 0.000 0.500 1
Pd1 0.000 0.500 0.500 1
Pb1 0.500 0.500 0.000 1
# Formation energy ... 0.52 eV/atom
# Polymorph energy (0 for the lowest one) ... 107.3 meV/atom

***

No. 7
# LiHfPt2Pb, relaxed, DFT PBE
data_LiHfPt2Pb
_chemical_formula_sum 'Li1 Hf1 Pt2 Pb1'
_space_group_name_H-M_alt 'P 4/m m m'
_space_group_IT_number 123
_space_group_name_Hall '-P 4 2'
_cell_length_a 4.360
_cell_length_b 4.360
_cell_length_c 4.795
_cell_angle_alpha 90.00
_cell_angle_beta 90.00
_cell_angle_gamma 90.00
loop_
_atom_site_label
_atom_site_fract_x
_atom_site_fract_y
_atom_site_fract_z
_atom_site_occupancy
Li1 0.000 0.000 0.000 1
Hf1 0.000 0.000 0.500 1
Pt1 0.000 0.500 0.000 1
Pb1 0.500 0.500 0.500 1
# Formation energy ... 0.22 eV/atom

***

No. 8
# Li2HfPbS, relaxed, DFT PBE
data_Li2HfPbS
_chemical_formula_sum 'Li2 Hf1 Pb1 S1'
_space_group_name_H-M_alt 'P 4/m m m'
_space_group_IT_number 123
_space_group_name_Hall '-P 4 2'
_cell_length_a 4.467
_cell_length_b 4.467
_cell_length_c 4.991
_cell_angle_alpha 90.00
_cell_angle_beta 90.00
_cell_angle_gamma 90.00
loop_
_atom_site_label
_atom_site_fract_x
_atom_site_fract_y
_atom_site_fract_z
_atom_site_occupancy
Li1 0.000 0.500 0.000 1
Hf1 0.000 0.000 0.500 1
Pb1 0.500 0.500 0.500 1
S1 0.000 0.000 0.000 1
# E_form (uncorrected) ... -3.1 eV/f.u.

***

No. 9
# Li2Hf3PbS8, relaxed, DFT PBE
data_Li2Hf3PbS8
_chemical_formula_sum 'Li6 Hf9 Pb3 S24'
_space_group_name_H-M_alt 'R 3 m'
_space_group_IT_number 160
_space_group_name_Hall 'R 3 -2"'
_cell_length_a 7.4563
_cell_length_b 7.4563
_cell_length_c 22.0287
_cell_angle_alpha 90.00
_cell_angle_beta 90.00
_cell_angle_gamma 120.00
loop_
_atom_site_label
_atom_site_fract_x
_atom_site_fract_y
_atom_site_fract_z
_atom_site_occupancy
Li1 0.0000 0.0000 0.0000 1
Li2 0.0000 0.0000 0.4423 1
Hf1 0.0100 0.5050 0.9833 1
Pb1 0.0000 0.0000 0.8510 1
S1 0.0000 0.0000 0.2491 1
S2 0.0000 0.0000 0.7098 1
S3 0.0190 0.5095 0.2509 1
S4 0.1742 0.3484 0.0487 1
# E_form (uncorrected) ... -18.8 eV/f.u.

***

No. 10
# LiHfPb2Se, relaxed, DFT PBE
data_LiHfPb2Se
_chemical_formula_sum 'Li1 Hf1 Pb2 Se1'
_space_group_name_H-M_alt 'P 4/m m m'
_space_group_IT_number 123
_space_group_name_Hall '-P 4 2'
_cell_length_a 5.769
_cell_length_b 5.769
_cell_length_c 4.216
_cell_angle_alpha 90.00
_cell_angle_beta 90.00
_cell_angle_gamma 90.00
loop_
_atom_site_label
_atom_site_fract_x
_atom_site_fract_y
_atom_site_fract_z
_atom_site_occupancy
Li1 0.000 0.000 0.000 1
Hf1 0.500 0.500 0.000 1
Pb1 0.000 0.500 0.500 1
Se1 0.000 0.000 0.500 1
# E_form (uncorrected) ... 1.6 eV/f.u.

***

No. 11
# Li2HfPb3Se6, relaxed, DFT PBE
data_Li2HfPb3Se6
_chemical_formula_sum 'Li4 Hf2 Pb6 Se12'
_space_group_name_H-M_alt 'C 1 2/m 1'
_space_group_IT_number 12
_space_group_name_Hall '-C 2y'
_cell_length_a 7.174
_cell_length_b 12.420
_cell_length_c 7.253
_cell_angle_alpha 90.00
_cell_angle_beta 108.52
_cell_angle_gamma 90.00
loop_
_atom_site_label
_atom_site_fract_x
_atom_site_fract_y
_atom_site_fract_z
_atom_site_occupancy
Li1 0.000 0.175 0.000 1
Hf1 0.000 0.500 0.000 1
Pb1 0.000 0.000 0.500 1
Pb2 0.000 0.335 0.500 1
Se1 0.232 0.343 0.212 1
Se2 0.239 0.500 0.773 1
# E_form (uncorrected) ... -10.8 eV/f.u.

***

No. 12
# Li2HfPbSe4, relaxed, DFT PBE
data_Li2HfPbSe4
_chemical_formula_sum 'Li2 Hf1 Pb1 Se4'
_space_group_name_H-M_alt 'P 1 2/m 1'
_space_group_IT_number 10
_space_group_name_Hall '-P 2y'
_cell_length_a 6.837
_cell_length_b 3.980
_cell_length_c 7.254
_cell_angle_alpha 90.00
_cell_angle_beta 109.68
_cell_angle_gamma 90.00
loop_
_atom_site_label
_atom_site_fract_x
_atom_site_fract_y
_atom_site_fract_z
_atom_site_occupancy
Li1 0.000 0.000 0.000 1
Li2 0.000 0.500 0.500 1
Hf1 0.500 0.000 0.500 1
Pb1 0.500 0.500 0.000 1
Se1 0.245 0.000 0.710 1
Se2 0.256 0.500 0.275 1
# E_form (uncorrected) ... -8.5 eV/f.u.

***

No. 13
# LiHfSi2Pb, relaxed, DFT PBE
data_LiHfSi2Pb
_chemical_formula_sum 'Li1 Hf1 Si2 Pb1'
_space_group_name_H-M_alt 'P 4/m m m'
_space_group_IT_number 123
_space_group_name_Hall '-P 4 2'
_cell_length_a 5.064
_cell_length_b 5.064
_cell_length_c 5.283
_cell_angle_alpha 90.00
_cell_angle_beta 90.00
_cell_angle_gamma 90.00
loop_
_atom_site_label
_atom_site_fract_x
_atom_site_fract_y
_atom_site_fract_z
_atom_site_occupancy
Li1 0.000 0.000 0.000 1
Hf1 0.000 0.000 0.500 1
Si1 0.000 0.500 0.500 1
Pb1 0.500 0.500 0.000 1
# E_form (uncorrected) ... 3.5 eV/f.u.

***

No. 14
# Li2HfTaPb, relaxed, DFT PBE
data_Li2HfTaPb
_chemical_formula_sum 'Li2 Hf1 Ta1 Pb1'
_space_group_name_H-M_alt 'P 4/m m m'
_space_group_IT_number 123
_space_group_name_Hall '-P 4 2'
_cell_length_a 4.595
_cell_length_b 4.595
_cell_length_c 5.538
_cell_angle_alpha 90.00
_cell_angle_beta 90.00
_cell_angle_gamma 90.00
loop_
_atom_site_label
_atom_site_fract_x
_atom_site_fract_y
_atom_site_fract_z
_atom_site_occupancy
Li1 0.000 0.500 0.000 1
Hf1 0.000 0.000 0.500 1
Ta1 0.500 0.500 0.500 1
Pb1 0.000 0.000 0.000 1
# Formation energy ... 1.08 eV/atom

***

No. 15
# Li2HfTcPb, relaxed, DFT PBE
data_Li2HfTcPb
_chemical_formula_sum 'Li2 Hf1 Tc1 Pb1'
_space_group_name_H-M_alt 'P 4/m m m'
_space_group_IT_number 123
_space_group_name_Hall '-P 4 2'
_cell_length_a 5.164
_cell_length_b 5.164
_cell_length_c 4.621
_cell_angle_alpha 90.00
_cell_angle_beta 90.00
_cell_angle_gamma 90.00
loop_
_atom_site_label
_atom_site_fract_x
_atom_site_fract_y
_atom_site_fract_z
_atom_site_occupancy
Li1 0.000 0.500 0.000 1
Hf1 0.000 0.000 0.000 1
Tc1 0.000 0.000 0.500 1
Pb1 0.500 0.500 0.500 1
# Formation energy ... 1.01 eV/atom

***

No. 16
# Li2HfTe6Pb3, relaxed, DFT PBE
data_Li2HfTe6Pb3
_chemical_formula_sum 'Li4 Hf2 Te12 Pb6'
_space_group_name_H-M_alt 'C 1 2/m 1'
_space_group_IT_number 12
_space_group_name_Hall '-C 2y'
_cell_length_a 7.650
_cell_length_b 13.222
_cell_length_c 7.716
_cell_angle_alpha 90.00
_cell_angle_beta 108.95
_cell_angle_gamma 90.00
loop_
_atom_site_label
_atom_site_fract_x
_atom_site_fract_y
_atom_site_fract_z
_atom_site_occupancy
Li1 0.000 0.172 0.000 1
Hf1 0.000 0.500 0.000 1
Te1 0.234 0.341 0.218 1
Te2 0.245 0.500 0.774 1
Pb1 0.000 0.000 0.500 1
Pb2 0.000 0.337 0.500 1
# E_form (uncorrected) ... -7.4 eV/f.u.

***

No. 17
# LiHf2VPb, relaxed, DFT PBE
data_LiHf2VPb
_chemical_formula_sum 'Li1 Hf2 V1 Pb1'
_space_group_name_H-M_alt 'P 4/m m m'
_space_group_IT_number 123
_space_group_name_Hall '-P 4 2'
_cell_length_a 4.825
_cell_length_b 4.825
_cell_length_c 4.888
_cell_angle_alpha 90.00
_cell_angle_beta 90.00
_cell_angle_gamma 90.00
loop_
_atom_site_label
_atom_site_fract_x
_atom_site_fract_y
_atom_site_fract_z
_atom_site_occupancy
Li1 0.000 0.000 0.000 1
Hf1 0.000 0.500 0.500 1
V1 0.000 0.000 0.500 1
Pb1 0.500 0.500 0.000 1
# Formation energy ... 0.72 eV/atom

***

No. 18
# LiHf2Pd4, relaxed, DFT PBE
data_LiHf2Pd4
_chemical_formula_sum 'Li2 Hf4 Pd8'
_space_group_name_H-M_alt 'P -1'
_space_group_IT_number 2
_space_group_name_Hall '-P 1'
_cell_length_a 5.536
_cell_length_b 7.094
_cell_length_c 7.130
_cell_angle_alpha 81.60
_cell_angle_beta 67.24
_cell_angle_gamma 67.25
loop_
_atom_site_label
_atom_site_fract_x
_atom_site_fract_y
_atom_site_fract_z
_atom_site_occupancy
Li1 0.242 0.008 0.009 1
Hf1 0.000 0.000 0.500 1
Hf2 0.000 0.500 0.000 1
Hf3 0.000 0.500 0.500 1
Hf4 0.500 0.500 0.500 1
Pd1 0.231 0.776 0.776 1
Pd2 0.284 0.224 0.224 1
Pd3 0.339 0.167 0.651 1
Pd4 0.342 0.650 0.167 1
# Formation energy ... -0.52 eV/atom
# Polymorph energy (0 for the lowest one) ... 0.0 meV/atom

***

No. 19
# LiHf3Pd4, relaxed, DFT PBE
data_LiHf3Pd4
_chemical_formula_sum 'Li2 Hf6 Pd8'
_space_group_name_H-M_alt 'I m m 2'
_space_group_IT_number 44
_space_group_name_Hall 'I 2 -2'
_cell_length_a 5.164
_cell_length_b 7.588
_cell_length_c 7.660
_cell_angle_alpha 90.00
_cell_angle_beta 90.00
_cell_angle_gamma 90.00
loop_
_atom_site_label
_atom_site_fract_x
_atom_site_fract_y
_atom_site_fract_z
_atom_site_occupancy
Li1 0.000 0.000 0.000 1
Hf1 0.000 0.274 0.589 1
Hf2 0.000 0.500 0.925 1
Pd1 0.000 0.175 0.270 1
Pd2 0.246 0.500 0.237 1
# Formation energy ... -0.25 eV/atom
# Polymorph energy (0 for the lowest one) ... 377.8 meV/atom

***

No. 20
# Li3HfPd, relaxed, DFT PBE
data_Li3HfPd
_chemical_formula_sum 'Li3 Hf1 Pd1'
_space_group_name_H-M_alt 'P m -3 m'
_space_group_IT_number 221
_space_group_name_Hall '-P 4 2 3'
_cell_length_a 4.483
_cell_length_b 4.483
_cell_length_c 4.483
_cell_angle_alpha 90.00
_cell_angle_beta 90.00
_cell_angle_gamma 90.00
loop_
_atom_site_label
_atom_site_fract_x
_atom_site_fract_y
_atom_site_fract_z
_atom_site_occupancy
Li1 0.000 0.000 0.500 1
Hf1 0.500 0.500 0.500 1
Pd1 0.000 0.000 0.000 1
# Formation energy ... 0.45 eV/atom
# Polymorph energy (0 for the lowest one) ... 0.0 meV/atom

***

| no. | raw total energy (eV for the cell shown) |
| --- | --- |
| 1 | -28.5 |
| 2 | -32.6 |
| 3 | -16.1 |
| 4 | -23.9 |
| 5 | -87.8 |
| 6 | -23.4 |
| 7 | -26.5 |
| 8 | -24.7 |
| 9 | -267.8 |
| 10 | -21.2 |
| 11 | -113.2 |
| 12 | -40.0 |
| 13 | -22.9 |
| 14 | -23.9 |
| 15 | -22.8 |
| 16 | -102.4 |
| 17 | -31.0 |
| 18 | -92.4 |
| 19 | -109.2 |
| 20 | -18.7 |